[1]
VASP calculation (PBE) on RbTl2MoN after structural relaxation.

The structure in extended XYZ format:
```
5
Lattice="-5.246 -1.224 -0.263 0.933 -2.675 -6.161 1.008 -4.802 2.238" Properties=species:S:1:pos:R:3 pbc="T T T"
Mo 0.000 0.000 0.000
N -1.653 -4.351 -2.093
Tl 0.504 -2.401 1.119
Tl -2.623 -0.612 -0.131
Rb 0.466 -1.338 -3.080
```

Values from the calculation:
Space-group type: No. 123


[2]
VASP calculation (PBE) on RbUMoN4 after structural relaxation.

The structure in extended XYZ format:
```
14
Lattice="6.035 0.000 -0.196 0.000 5.921 0.000 -2.571 0.000 7.680" Properties=species:S:1:pos:R:3 pbc="T T T"
Mo 0.620 4.441 2.637
Mo 2.843 1.480 4.847
N 2.226 4.441 1.651
N 1.940 1.480 3.277
N -0.690 3.039 2.626
N 1.524 4.441 4.207
N -0.690 5.843 2.626
N 4.154 0.079 4.857
N 4.154 2.882 4.857
N 1.238 1.480 5.833
Rb 1.771 1.480 0.451
Rb 1.693 4.441 7.033
U -0.169 1.480 4.134
U 3.633 4.441 3.350
```

Values from the calculation:
Space-group type: No. 11


[3]
VASP calculation (PBE) on Rb3U3MoN8 after structural relaxation.

The structure in extended XYZ format:
```
15
Lattice="-1.702 -5.710 3.350 6.101 2.895 1.061 -6.131 3.682 3.161" Properties=species:S:1:pos:R:3 pbc="T T T"
N 0.840 1.295 2.634
N -0.023 -1.531 4.352
N -3.088 -2.985 3.819
N 0.501 0.985 5.436
N -1.708 2.399 3.220
N -2.233 -0.117 2.137
N -2.572 -0.427 4.939
N 1.356 3.853 3.753
U -3.917 -1.014 3.255
U -0.015 3.289 2.111
U -0.866 0.434 3.786
Rb 2.200 -1.407 2.206
Rb 0.000 0.000 0.000
Rb 3.051 1.448 0.531
Mo -3.065 1.841 1.580
```

Values from the calculation:
Space-group type: No. 166


[4]
VASP calculation (PBE) on Rb2ZrMoN after structural relaxation.

The structure in extended XYZ format:
```
5
Lattice="6.763 0.000 0.000 0.000 4.841 0.000 0.000 0.000 6.763" Properties=species:S:1:pos:R:3 pbc="T T T"
Rb 0.000 0.000 3.382
Rb 3.382 0.000 0.000
N 3.382 2.421 3.382
Zr 0.000 2.421 0.000
Mo 0.000 0.000 0.000
```

Values from the calculation:
Space-group type: No. 123


| no. | M_tot (μB/f.u.) | calculated volume (Å³/atom) | ΔE_f (raw) (meV per atom) |
| --- | --- | --- | --- |
| 1 | 0.0 | 39.4 | 1661 |
| 2 | 1.0 | 19.4 | -610 |
| 3 | 3.0 | 18.2 | -792 |
| 4 | 1.4 | 44.3 | 2147 |